Computed, not measured: a geometry-optimized MnAl2In structure at the PBE level of DFT.

The structure in POSCAR format:
```
MnAl2In
1.0
4.7795 -1.4677 0.0000
4.7795 1.4677 0.0000
-0.8418 0.0000 4.8535
Mn Al In
1 2 1
direct
0.0000 0.0000 0.0000
0.4848 0.4848 0.4536
0.7289 0.7289 0.2110
0.2526 0.2526 0.7358
```

Mass density (g cm⁻³): 5.46
Energy of formation (eV/f.u.): 0.53
Total energy (eV per atom): -4.716
Total magnetic moment (μB per formula unit): 2.623